Run i
Compound: AcGd2Pb
Source: Alexandria
Functional: GGA-PBE
Structure: optimized geometry

The volume is 33.86 Å³/atom. The density of states at the Fermi level is 4.194 states/eV/cell.

Geometry as extended XYZ:
```
4
Lattice="1.863 1.075 11.272 -1.863 1.075 11.272 0.000 -2.151 11.272" Properties=species:S:1:pos:R:3 pbc="T T T"
Ac 0.000 0.000 0.000
Gd 0.000 0.000 8.246
Gd 0.000 0.000 25.569
Pb 0.000 0.000 16.908
```

Run ii
Compound: AcGd2Pb
Source: Alexandria
Functional: GGA-PBE
Structure: optimized geometry

The volume is 33.38 Å³/atom. The density of states at the Fermi level is 5.035 states/eV/cell.

Geometry as extended XYZ:
```
4
Lattice="4.081 0.000 0.000 0.000 4.081 0.000 0.000 0.000 8.019" Properties=species:S:1:pos:R:3 pbc="T T T"
Ac 0.000 0.000 0.000
Gd 2.040 2.040 2.356
Gd 2.040 2.040 5.663
Pb 0.000 0.000 4.009
```

Each structure's energy above the most stable one, in eV/atom: run i 0.080; run ii 0.000.

Run i
Compound: AcGd2Pd
Source: Alexandria
Functional: GGA-PBE
Structure: optimized geometry

The volume is 32.93 Å³/atom. The density of states at the Fermi level is 5.902 states/eV/cell.

Geometry as extended XYZ:
```
4
Lattice="1.981 1.144 9.692 -1.981 1.144 9.692 0.000 -2.287 9.692" Properties=species:S:1:pos:R:3 pbc="T T T"
Ac 0.000 0.000 0.000
Gd 0.000 0.000 6.560
Gd 0.000 0.000 22.518
Pd 0.000 0.000 14.539
```

Run ii
Compound: AcGd2Pd
Source: Alexandria
Functional: GGA-PBE
Structure: optimized geometry

The volume is 30.10 Å³/atom. The density of states at the Fermi level is 4.866 states/eV/cell.

Geometry as extended XYZ:
```
4
Lattice="3.665 0.000 0.000 0.000 3.665 0.000 0.000 0.000 8.964" Properties=species:S:1:pos:R:3 pbc="T T T"
Ac 0.000 0.000 0.000
Gd 1.832 1.832 2.823
Gd 1.832 1.832 6.141
Pd 0.000 0.000 4.482
```

Each structure's energy above the most stable one, in eV/atom: run i 0.065; run ii 0.000.